The following is a DFT calculation (PBE) of a relaxed structure of YGaTc.

Space group ... P-6m2 (187)
Energy of formation from the pure elements ... -0.21 eV/atom

Unit cell a=3.702 b=4.359 c=4.359 alpha=120.00 beta=90.00 gamma=90.00
Atoms (fractional coordinates):
Tc: 0.167 0.333 0.667
Y: 0.667 0.667 0.333
Ga: 0.167 0.000 0.000